1.
The following is a DFT calculation (PBE) of crystalline In2FeBr at its relaxed geometry.

Properties
DOS(E_F)   1.5 states/eV/cell
V   23.0 A^3/atom
Space-group type   No. 99
Energy above the most stable polymorph in this dataset   185 meV per atom
Formation energy (no corrections)   0.25 eV per atom
E_tot   -3.655 eV/atom

Lattice parameters (Å, degrees): 5.383 3.174 5.383 89.94 90.00 90.00
Last column: magnetic moment on the atom in μB.
Fractional positions:
Br: 0.000 0.626 0.375  0.01
Fe: 0.500 0.624 0.875  2.95
In: 0.000 0.126 0.875  -0.02
In: 0.500 0.125 0.375  -0.02


2.
The following is a DFT calculation (PBE) of crystalline InFe2Br at its relaxed geometry.

Properties
DOS(E_F)   2.8 states/eV/cell
V   20.2 A^3/atom
Space-group type   No. 6
Energy above the most stable polymorph in this dataset   11 meV per atom
Formation energy (no corrections)   0.21 eV per atom
E_tot   -5.124 eV/atom

Lattice parameters (Å, degrees): 3.039 3.316 8.158 79.76 90.00 90.00
Last column: magnetic moment on the atom in μB.
Fractional positions:
Br: 0.500 0.893 0.819  0.05
Fe: 0.000 0.777 0.059  2.72
Fe: 0.500 0.211 0.206  2.61
In: 0.000 0.618 0.416  -0.02


3.
The following is a DFT calculation (PBE) of crystalline In2FeBr at its relaxed geometry.

Properties
DOS(E_F)   4.0 states/eV/cell
V   22.1 A^3/atom
Space-group type   No. 123
Energy above the most stable polymorph in this dataset   94 meV per atom
Formation energy (no corrections)   0.16 eV per atom
E_tot   -3.746 eV/atom

Lattice parameters (Å, degrees): 3.354 3.354 7.853 90.00 90.00 90.00
Last column: magnetic moment on the atom in μB.
Fractional positions:
Br: 0.500 0.500 0.250  -0.01
Fe: 0.500 0.500 0.750  2.51
In: 0.000 0.000 0.951  -0.03
In: 0.000 0.000 0.549  -0.03


4.
The following is a DFT calculation (PBE) of crystalline In2FeBr at its relaxed geometry.

Properties
DOS(E_F)   1.0 states/eV/cell
V   25.2 A^3/atom
Space-group type   No. 225
Energy above the most stable polymorph in this dataset   405 meV per atom
Formation energy (no corrections)   0.47 eV per atom
E_tot   -3.435 eV/atom

Lattice parameters (Å, degrees): 5.223 5.223 5.223 60.00 60.00 60.00
Last column: magnetic moment on the atom in μB.
Fractional positions:
Fe: 0.000 0.000 0.000  3.02
Br: 0.500 0.500 0.500  0.02
In: 0.250 0.250 0.250  -0.03
In: 0.750 0.750 0.750  -0.03